# 1
Entry from Alexandria via LeMat-Bulk: an optimized crystal structure of K2ZrPb (PBE).

Cell: 10.219 10.219 7.839 Å, 49.32 49.32 90.00°
Site moments in Bohr magnetons follow the coordinates.
Element x y z (fractional)
Zr (0.250, 0.750, 0.500)  1.14
Zr (0.500, 0.500, 0.000)  1.14
K (0.089, 0.625, 0.250)  0.02
Pb (0.000, 0.000, 0.000)  -0.04
K (0.375, 0.339, 0.750)  0.02
Pb (0.750, 0.250, 0.500)  -0.04
K (0.661, 0.125, 0.250)  0.02
K (0.875, 0.911, 0.750)  0.02

Properties
Its symmetry is I-42d. As for the formation energy: 687.4 meV/atom.

# 2
Entry from Alexandria via LeMat-Bulk: an optimized crystal structure of Y2MnCu (PBE).

Cell: 3.387 3.387 7.783 Å, 90.00 90.00 89.99°
Site moments in Bohr magnetons follow the coordinates.
Element x y z (fractional)
Mn (0.500, 0.500, 0.695)  3.51
Y (0.500, 0.500, 0.312)  -0.01
Cu (0.000, 0.000, 0.550)  0.06
Y (0.000, 0.000, 0.943)  -0.27

Properties
Its symmetry is P4mm. As for the formation energy: 85.4 meV/atom.